First-principles (PBE) data for a relaxed structure of CuTc2Ir, as listed in Alexandria via LeMat-Bulk.

Lattice parameters (Å, degrees): 5.1766 5.1766 5.1766 148.31 129.02 61.29
With the nearest neighbours (Å) after each atom.
Atoms (fractional coordinates):
Cu  0.5009  0.5009  0.0000  2 Ir 2.54, 6 Tc 2.55-2.64, 2 Cu 2.83
Ir  0.7380  0.2380  0.5000  2 Cu 2.54, 6 Tc 2.65-2.72, 2 Ir 2.83
Tc  0.9983  0.9983  0.0000  4 Cu 2.64, 2 Ir 2.72, 4 Tc 2.75-2.83
Tc  0.2629  0.7629  0.5000  2 Cu 2.55, 4 Ir 2.65, 4 Tc 2.75-2.83

## Properties
- E_form (eV/atom) = 0.23
- SG = Imm2
- mass density (g/cm3) = 13.37



First-principles (PBE) data for a relaxed structure of CrS2BrCl, as listed in Alexandria via LeMat-Bulk.

Lattice parameters (Å, degrees): 4.5097 4.5097 4.6993 90.00 90.00 90.00
With the nearest neighbours (Å) after each atom.
Atoms (fractional coordinates):
Cr  0.0000  0.0000  0.0000  4 S 2.25, 2 Cl 2.35
S  0.0000  0.5000  0.0000  2 Cr 2.25
S  0.5000  0.0000  0.0000  2 Cr 2.25
Br  0.5000  0.5000  0.5000  4 Cl 3.19, 8 S 3.26
Cl  0.0000  0.0000  0.5000  2 Cr 2.35

## Properties
- raw formation energy (eV/atom) = 0.111
- SG = P4/mmm
- mass density (g/cm3) = 4.02



First-principles (PBE) data for a relaxed structure of CdSiAs3, as listed in Alexandria via LeMat-Bulk.

Lattice parameters (Å, degrees): 4.8311 4.8311 4.8311 90.00 90.00 90.00
With the nearest neighbours (Å) after each atom.
Atoms (fractional coordinates):
As  0.0000  0.5000  0.0000  2 Si 2.42
As  0.0000  0.0000  0.5000  2 Si 2.42
As  0.5000  0.0000  0.0000  2 Si 2.42
Si  0.0000  0.0000  0.0000  6 As 2.42
Cd  0.5000  0.5000  0.5000  12 As 3.42

## Properties
- raw formation energy (eV/atom) = 0.585
- SG = Pm-3m
- mass density (g/cm3) = 5.38



First-principles (PBE) data for a relaxed structure of K3TlAs, as listed in Alexandria via LeMat-Bulk.

Lattice parameters (Å, degrees): 8.4530 8.4530 8.4530 94.13 111.68 123.96
With the nearest neighbours (Å) after each atom.
Atoms (fractional coordinates):
K  0.1197  0.3114  0.7432  2 As 3.40-3.43, 1 K 3.80
K  0.1197  0.8766  0.3084  2 As 3.40-3.43, 1 K 3.80
K  0.5682  0.8114  0.6916  2 As 3.40-3.43, 1 K 3.80
K  0.0543  0.2839  0.2705  2 As 3.40-3.53, 1 Tl 3.52, 2 K 3.80
K  0.5682  0.3766  0.2568  2 As 3.40-3.43, 1 K 3.80
K  0.0134  0.7839  0.7295  2 As 3.40-3.53, 1 Tl 3.52, 2 K 3.80
Tl  0.4270  0.8280  0.0990  1 As 2.65
Tl  0.7290  0.3280  0.9010  1 As 2.65
As  0.7355  0.8585  0.3770  1 Tl 2.65
As  0.4815  0.3585  0.6230  1 Tl 2.65

## Properties
- E_form (eV/atom) = -0.17
- SG = Ima2
- mass density (g/cm3) = 3.03



First-principles (PBE) data for a relaxed structure of CsTl3Sb2, as listed in Alexandria via LeMat-Bulk.

Lattice parameters (Å, degrees): 5.6261 10.0561 11.4108 46.42 75.73 73.76
With the nearest neighbours (Å) after each atom.
Atoms (fractional coordinates):
Cs  0.8725  0.0922  0.1629  7 Tl 3.85-4.01, 6 Sb 3.87-4.17
Cs  0.1275  0.9078  0.8371  7 Tl 3.85-4.01, 6 Sb 3.87-4.17
Tl  0.3180  0.4663  0.8978  4 Sb 3.22-3.36, 1 Tl 3.45
Tl  0.9524  0.4155  0.6797  3 Sb 3.13-3.29, 1 Tl 3.13
Tl  0.6630  0.1596  0.5145  3 Sb 3.31-3.44, 1 Tl 3.45
Tl  0.3370  0.8404  0.4855  3 Sb 3.31-3.44, 1 Tl 3.45
Tl  0.0476  0.5845  0.3203  3 Sb 3.13-3.29, 1 Tl 3.13
Tl  0.6820  0.5337  0.1022  4 Sb 3.22-3.36, 1 Tl 3.45
Sb  0.4898  0.1814  0.8390  1 Sb 2.88, 1 Tl 3.22
Sb  0.5102  0.8186  0.1610  1 Sb 2.88, 1 Tl 3.22
Sb  0.7865  0.7080  0.7191  7 Tl 3.13-3.44
Sb  0.2135  0.2920  0.2809  7 Tl 3.13-3.44

## Properties
- raw formation energy (eV/atom) = -0.160
- SG = C2/m
- mass density (g/cm3) = 7.34



First-principles (PBE) data for a relaxed structure of YGeRu, as listed in Alexandria via LeMat-Bulk.

Lattice parameters (Å, degrees): 4.3136 3.7359 15.7228 90.00 105.27 90.00
With the nearest neighbours (Å) after each atom.
Atoms (fractional coordinates):
Y  0.1853  0.0000  0.7501  6 Ru 2.97-3.26, 6 Ge 3.23-3.28
Y  0.1853  0.5000  0.2501  6 Ru 2.97-3.26, 6 Ge 3.23-3.28
Y  0.9550  0.0000  0.0153  6 Ge 3.06-3.09, 4 Ru 3.14-3.18
Y  0.9550  0.5000  0.5153  6 Ge 3.06-3.09, 4 Ru 3.14-3.18
Ge  0.5258  0.0000  0.5879  3 Ru 2.44-2.46
Ge  0.5258  0.5000  0.0879  3 Ru 2.44-2.46
Ge  0.7923  0.0000  0.3527  3 Ru 2.43-2.44
Ge  0.7923  0.5000  0.8527  3 Ru 2.43-2.44
Ru  0.3627  0.0000  0.4260  3 Ge 2.43-2.46
Ru  0.3627  0.5000  0.9260  3 Ge 2.43-2.46
Ru  0.6236  0.0000  0.1918  3 Ge 2.44
Ru  0.6236  0.5000  0.6918  3 Ge 2.44

## Properties
- E_form (eV/atom) = -0.55
- SG = Cm
- mass density (g/cm3) = 7.14



First-principles (PBE) data for a relaxed structure of Nd6Y2Mg, as listed in Alexandria via LeMat-Bulk.

Lattice parameters (Å, degrees): 5.1335 10.8304 10.8304 90.00 90.00 90.00
With the nearest neighbours (Å) after each atom.
Atoms (fractional coordinates):
Nd  0.0000  0.9990  0.1670  1 Mg 3.61, 8 Nd 3.61-3.64, 3 Y 3.62
Nd  0.0000  0.6671  0.4991  1 Mg 3.61, 8 Nd 3.61-3.64, 3 Y 3.62
Nd  0.0001  0.6651  0.8350  4 Y 3.58-3.66, 2 Mg 3.60, 6 Nd 3.61-3.64
Nd  0.4998  0.1651  0.6650  4 Y 3.58-3.66, 2 Mg 3.60, 6 Nd 3.61-3.64
Nd  0.5000  0.1670  0.0009  1 Mg 3.61, 8 Nd 3.61-3.64, 3 Y 3.62
Nd  0.5000  0.4990  0.3330  1 Mg 3.61, 8 Nd 3.61-3.64, 3 Y 3.62
Nd  0.0000  0.0010  0.8330  1 Mg 3.61, 8 Nd 3.61-3.64, 3 Y 3.62
Nd  0.0000  0.3329  0.5009  1 Mg 3.61, 8 Nd 3.61-3.64, 3 Y 3.62
Nd  0.9998  0.3349  0.1650  4 Y 3.58-3.66, 2 Mg 3.60, 6 Nd 3.61-3.64
Nd  0.5002  0.8349  0.3350  4 Y 3.58-3.66, 2 Mg 3.60, 6 Nd 3.61-3.64
Nd  0.5000  0.8330  0.9991  1 Mg 3.61, 8 Nd 3.61-3.64, 3 Y 3.62
Nd  0.5000  0.5010  0.6670  1 Mg 3.61, 8 Nd 3.61-3.64, 3 Y 3.62
Y  0.9999  0.3350  0.8349  10 Nd 3.58-3.66, 2 Mg 3.60
Y  0.5001  0.8350  0.6651  10 Nd 3.58-3.66, 2 Mg 3.60
Y  0.4999  0.1650  0.3349  10 Nd 3.58-3.66, 2 Mg 3.60
Y  0.0001  0.6650  0.1651  10 Nd 3.58-3.66, 2 Mg 3.60
Mg  0.5000  0.5000  0.0000  8 Nd 3.60-3.61, 4 Y 3.60
Mg  0.0000  0.0000  0.5000  8 Nd 3.60-3.61, 4 Y 3.60

## Properties
- E_form (eV/atom) = 0.02
- SG = P4_2/mnm
- mass density (g/cm3) = 5.89



First-principles (PBE) data for a relaxed structure of Na2ZrS4, as listed in Alexandria via LeMat-Bulk.

Lattice parameters (Å, degrees): 3.8187 6.5212 13.0856 90.00 90.00 90.00
With the nearest neighbours (Å) after each atom.
Atoms (fractional coordinates):
Na  0.5000  0.9034  0.8227  6 S 2.83-2.99
Na  0.5000  0.0966  0.1773  6 S 2.83-2.99
Na  0.5000  0.4034  0.6773  6 S 2.83-2.99
Na  0.5000  0.5966  0.3227  6 S 2.83-2.99
Zr  0.0000  0.0000  0.5000  6 S 2.53-2.58
Zr  0.0000  0.5000  0.0000  6 S 2.53-2.58
S  0.0000  0.5799  0.8109  1 Zr 2.53
S  0.0000  0.4201  0.1891  1 Zr 2.53
S  0.0000  0.0799  0.6891  1 Zr 2.53
S  0.0000  0.9201  0.3109  1 Zr 2.53
S  0.5000  0.7450  0.5388  2 Zr 2.58, 1 Na 2.87
S  0.5000  0.2550  0.4612  2 Zr 2.58, 1 Na 2.87
S  0.5000  0.7550  0.0388  2 Zr 2.58, 1 Na 2.87
S  0.5000  0.2450  0.9612  2 Zr 2.58, 1 Na 2.87

## Properties
- raw formation energy (eV/atom) = -0.909
- SG = Pbam
- mass density (g/cm3) = 2.71